Here is a relaxed structure of HfCo2PN from Alexandria. Energies are from PBE.

Lattice parameters (Å, degrees): 4.1766 4.1766 3.7203 90.00 90.00 90.00
Closest atoms and distances in Å follow each position.
Atoms (fractional coordinates):
Hf 0.0000 0.0000 0.0000  8 Co 2.80, 4 N 2.95
Co 0.0000 0.5000 0.5000  2 P 2.09
Co 0.5000 0.0000 0.5000  2 P 2.09
P 0.5000 0.5000 0.5000  2 N 1.86
N 0.5000 0.5000 0.0000  2 P 1.86

Output
- Size of the total moment: 0.9 μB per cell
- Formation energy (no corrections): 2.10 eV/f.u.
- Calculated density: 8.734 g/cm³
- Total energy: -0.5262 Ry/atom
- DOS at the Fermi energy: 3.9 states/eV per cell

***

Here is a relaxed structure of Hf2PaCoN4 from Alexandria. Energies are from PBE.

Lattice parameters (Å, degrees): 5.6109 5.6109 10.9772 90.00 90.00 146.65
Closest atoms and distances in Å follow each position.
Atoms (fractional coordinates):
Hf 0.1314 0.8686 0.5581  6 N 2.16-2.32
Hf 0.1314 0.8686 0.9419  6 N 2.16-2.32
Hf 0.8686 0.1314 0.0581  6 N 2.16-2.32
Hf 0.8686 0.1314 0.4419  6 N 2.16-2.32
Pa 0.3904 0.6096 0.7500  6 N 2.31-2.51
Pa 0.6096 0.3904 0.2500  6 N 2.31-2.51
Co 0.3435 0.6565 0.2500  4 N 1.94-2.01
Co 0.6565 0.3435 0.7500  4 N 1.94-2.01
N 0.0451 0.9549 0.7500  2 Co 2.01
N 0.2250 0.7750 0.1164  1 Co 1.94, 1 Hf 2.16
N 0.2250 0.7750 0.3836  1 Co 1.94, 1 Hf 2.16
N 0.5000 0.5000 0.0000  4 Hf 2.23
N 0.5000 0.5000 0.5000  4 Hf 2.23
N 0.7750 0.2250 0.6164  1 Co 1.94, 1 Hf 2.16
N 0.7750 0.2250 0.8836  1 Co 1.94, 1 Hf 2.16
N 0.9549 0.0451 0.2500  2 Co 2.01

Output
- Size of the total moment: 0.0 μB per cell
- Formation energy (no corrections): -11.54 eV/f.u.
- Calculated density: 12.288 g/cm³
- Total energy: -0.7474 Ry/atom
- DOS at the Fermi energy: 4.9 states/eV per cell

***

Here is a relaxed structure of HfPaCoN3 from Alexandria. Energies are from PBE.

Lattice parameters (Å, degrees): 6.8075 3.2460 7.0239 90.00 101.82 90.00
Closest atoms and distances in Å follow each position.
Atoms (fractional coordinates):
Hf 0.1580 0.2500 0.1646  5 N 2.19-2.28
Hf 0.8420 0.7500 0.8354  5 N 2.19-2.28
Pa 0.3269 0.7500 0.7887  7 N 2.31-2.54
Pa 0.6731 0.2500 0.2113  7 N 2.31-2.54
Co 0.3900 0.7500 0.4096  4 N 1.92-2.00
Co 0.6100 0.2500 0.5904  4 N 1.92-2.00
N 0.0777 0.2500 0.8467  3 Hf 2.19-2.27, 2 Pa 2.44
N 0.3095 0.2500 0.5187  3 Co 1.92-2.00
N 0.3816 0.7500 0.1244  1 Co 1.99
N 0.6184 0.2500 0.8756  1 Co 1.99
N 0.6905 0.7500 0.4813  3 Co 1.92-2.00
N 0.9223 0.7500 0.1533  3 Hf 2.19-2.27, 2 Pa 2.44

Output
- Size of the total moment: 1.3 μB per cell
- Formation energy (no corrections): -7.17 eV/f.u.
- Calculated density: 11.160 g/cm³
- Total energy: -0.7190 Ry/atom
- DOS at the Fermi energy: 4.7 states/eV per cell

***

What is the formula in the first record? HfCo2PN

***

Which value of calculated density does entry 3 give? 11.160 g/cm³